w:
First-principles (PBE) data for a relaxed structure of La3Mg2Ag, as listed in Alexandria.

Calculated values
DOS(E_F): 0.89 states/eV/atom
spin magnetization: 0.11 μB per cell

CIF file:
```
data_La3Mg2Ag
_chemical_formula_sum 'La3 Mg2 Ag1'
_cell_length_a 3.941
_cell_length_b 3.941
_cell_length_c 11.571
_cell_angle_alpha 90.00
_cell_angle_beta 90.00
_cell_angle_gamma 90.00
_symmetry_space_group_name_H-M 'P 4/m m m'
_symmetry_Int_Tables_number 123
_symmetry_space_group_name_Hall '-P 4 2'
loop_
_atom_site_label
_atom_site_type_symbol
_atom_site_fract_x
_atom_site_fract_y
_atom_site_fract_z
La1 La 0.000 0.000 0.000
La2 La 0.000 0.000 0.341
Mg1 Mg 0.500 0.500 0.167
Ag1 Ag 0.500 0.500 0.500
```


x:
First-principles (PBE) data for a relaxed structure of La3Mg2Ag, as listed in Alexandria.

Calculated values
DOS(E_F): 0.92 states/eV/atom
spin magnetization: 0.00 μB per cell

CIF file:
```
data_La3Mg2Ag
_chemical_formula_sum 'La6 Mg4 Ag2'
_cell_length_a 5.547
_cell_length_b 16.597
_cell_length_c 3.911
_cell_angle_alpha 90.00
_cell_angle_beta 90.00
_cell_angle_gamma 90.00
_symmetry_space_group_name_H-M 'C m m m'
_symmetry_Int_Tables_number 65
_symmetry_space_group_name_Hall '-C 2 2'
loop_
_atom_site_label
_atom_site_type_symbol
_atom_site_fract_x
_atom_site_fract_y
_atom_site_fract_z
La1 La 0.000 0.000 0.000
La2 La 0.000 0.342 0.000
Mg1 Mg 0.000 0.176 0.500
Ag1 Ag 0.000 0.500 0.500
```


Energetically preferred structure: w | next structure: +0.5 kJ/mol of atoms


w:
First-principles (PBE) data for a relaxed structure of LaNdMgAg, as listed in Alexandria.

Calculated values
DOS(E_F): 1.24 states/eV/atom
spin magnetization: 0.02 μB per cell

CIF file:
```
data_LaNdMgAg
_chemical_formula_sum 'La4 Nd4 Mg4 Ag4'
_cell_length_a 7.728
_cell_length_b 7.728
_cell_length_c 7.728
_cell_angle_alpha 90.00
_cell_angle_beta 90.00
_cell_angle_gamma 90.00
_symmetry_space_group_name_H-M 'F -4 3 m'
_symmetry_Int_Tables_number 216
_symmetry_space_group_name_Hall 'F -4 2 3'
loop_
_atom_site_label
_atom_site_type_symbol
_atom_site_fract_x
_atom_site_fract_y
_atom_site_fract_z
La1 La 0.000 0.000 0.000
Nd1 Nd 0.000 0.000 0.500
Mg1 Mg 0.250 0.250 0.250
Ag1 Ag 0.250 0.250 0.750
```


x:
First-principles (PBE) data for a relaxed structure of LaNdMgAg, as listed in Alexandria.

Calculated values
DOS(E_F): 0.73 states/eV/atom
spin magnetization: 0.00 μB per cell

CIF file:
```
data_LaNdMgAg
_chemical_formula_sum 'La1 Nd1 Mg1 Ag1'
_cell_length_a 3.890
_cell_length_b 3.890
_cell_length_c 7.551
_cell_angle_alpha 90.00
_cell_angle_beta 90.00
_cell_angle_gamma 90.00
_symmetry_space_group_name_H-M 'P 4 m m'
_symmetry_Int_Tables_number 99
loop_
_symmetry_equiv_pos_as_xyz
'x,y,z'
'-y,x,z'
'-x,-y,z'
'y,-x,z'
'-x,y,z'
'y,x,z'
'x,-y,z'
'-y,-x,z'
loop_
_atom_site_label
_atom_site_type_symbol
_atom_site_fract_x
_atom_site_fract_y
_atom_site_fract_z
La1 La 0.000 0.000 0.000
Nd1 Nd 0.000 0.000 0.517
Mg1 Mg 0.500 0.500 0.266
Ag1 Ag 0.500 0.500 0.748
```


Energetically preferred structure: x | next structure: +4.7 kJ/mol of atoms


w:
First-principles (PBE) data for a relaxed structure of LaAg3Mo, as listed in Alexandria.

Calculated values
DOS(E_F): 1.17 states/eV/atom
spin magnetization: 1.36 μB per cell

CIF file:
```
data_LaAg3Mo
_chemical_formula_sum 'La1 Ag3 Mo1'
_cell_length_a 5.092
_cell_length_b 5.092
_cell_length_c 5.092
_cell_angle_alpha 90.00
_cell_angle_beta 90.00
_cell_angle_gamma 90.00
_symmetry_space_group_name_H-M 'P m -3 m'
_symmetry_Int_Tables_number 221
_symmetry_space_group_name_Hall '-P 4 2 3'
loop_
_atom_site_label
_atom_site_type_symbol
_atom_site_fract_x
_atom_site_fract_y
_atom_site_fract_z
La1 La 0.000 0.000 0.000
Ag1 Ag 0.000 0.500 0.500
Mo1 Mo 0.500 0.500 0.500
```


x:
First-principles (PBE) data for a relaxed structure of LaAg3Mo, as listed in Alexandria.

Calculated values
DOS(E_F): 1.78 states/eV/atom
spin magnetization: 0.10 μB per cell

CIF file:
```
data_LaAg3Mo
_chemical_formula_sum 'La1 Ag3 Mo1'
_cell_length_a 5.286
_cell_length_b 5.286
_cell_length_c 5.286
_cell_angle_alpha 90.00
_cell_angle_beta 90.00
_cell_angle_gamma 90.00
_symmetry_space_group_name_H-M 'P m -3 m'
_symmetry_Int_Tables_number 221
_symmetry_space_group_name_Hall '-P 4 2 3'
loop_
_atom_site_label
_atom_site_type_symbol
_atom_site_fract_x
_atom_site_fract_y
_atom_site_fract_z
La1 La 0.000 0.000 0.000
Ag1 Ag 0.000 0.000 0.500
Mo1 Mo 0.500 0.500 0.500
```


Energetically preferred structure: w | next structure: +111.3 kJ/mol of atoms


w:
First-principles (PBE) data for a relaxed structure of LaAgMo2, as listed in Alexandria.

Calculated values
DOS(E_F): 1.12 states/eV/atom
spin magnetization: 0.00 μB per cell

CIF file:
```
data_LaAgMo2
_chemical_formula_sum 'La2 Ag2 Mo4'
_cell_length_a 10.460
_cell_length_b 3.365
_cell_length_c 5.400
_cell_angle_alpha 90.00
_cell_angle_beta 107.70
_cell_angle_gamma 90.00
_symmetry_space_group_name_H-M 'C 1 2/m 1'
_symmetry_Int_Tables_number 12
loop_
_symmetry_equiv_pos_as_xyz
'x,y,z'
'-x,-y,-z'
'-x,y,-z'
'x,-y,z'
'x+1/2,y+1/2,z'
'-x+1/2,-y+1/2,-z'
'-x+1/2,y+1/2,-z'
'x+1/2,-y+1/2,z'
loop_
_atom_site_label
_atom_site_type_symbol
_atom_site_fract_x
_atom_site_fract_y
_atom_site_fract_z
La1 La 0.000 0.000 0.000
Ag1 Ag 0.000 0.500 0.500
Mo1 Mo 0.233 0.000 0.648
```


x:
First-principles (PBE) data for a relaxed structure of LaAgMo2, as listed in Alexandria.

Calculated values
DOS(E_F): 0.93 states/eV/atom
spin magnetization: 0.00 μB per cell

CIF file:
```
data_LaAgMo2
_chemical_formula_sum 'La1 Ag1 Mo2'
_cell_length_a 2.762
_cell_length_b 4.519
_cell_length_c 6.531
_cell_angle_alpha 90.00
_cell_angle_beta 90.00
_cell_angle_gamma 90.00
_symmetry_space_group_name_H-M 'P m m m'
_symmetry_Int_Tables_number 47
loop_
_symmetry_equiv_pos_as_xyz
'x,y,z'
'-x,-y,-z'
'-x,-y,z'
'x,y,-z'
'x,-y,-z'
'-x,y,z'
'-x,y,-z'
'x,-y,z'
loop_
_atom_site_label
_atom_site_type_symbol
_atom_site_fract_x
_atom_site_fract_y
_atom_site_fract_z
La1 La 0.000 0.000 0.000
Ag1 Ag 0.000 0.000 0.500
Mo1 Mo 0.500 0.500 0.308
```


Energetically preferred structure: w | next structure: +13.6 kJ/mol of atoms


w:
First-principles (PBE) data for a relaxed structure of LaAg3N, as listed in Alexandria.

Calculated values
DOS(E_F): 0.69 states/eV/atom
spin magnetization: 0.00 μB per cell

CIF file:
```
data_LaAg3N
_chemical_formula_sum 'La1 Ag3 N1'
_cell_length_a 4.648
_cell_length_b 4.648
_cell_length_c 4.648
_cell_angle_alpha 90.00
_cell_angle_beta 90.00
_cell_angle_gamma 90.00
_symmetry_space_group_name_H-M 'P m -3 m'
_symmetry_Int_Tables_number 221
_symmetry_space_group_name_Hall '-P 4 2 3'
loop_
_atom_site_label
_atom_site_type_symbol
_atom_site_fract_x
_atom_site_fract_y
_atom_site_fract_z
La1 La 0.000 0.000 0.000
Ag1 Ag 0.000 0.500 0.500
N1 N 0.500 0.500 0.500
```


x:
First-principles (PBE) data for a relaxed structure of LaAg3N, as listed in Alexandria.

Calculated values
DOS(E_F): 0.00 states/eV/atom
spin magnetization: 3.00 μB per cell

CIF file:
```
data_LaAg3N
_chemical_formula_sum 'La1 Ag3 N1'
_cell_length_a 6.054
_cell_length_b 6.054
_cell_length_c 6.054
_cell_angle_alpha 90.00
_cell_angle_beta 90.00
_cell_angle_gamma 90.00
_symmetry_space_group_name_H-M 'P m -3 m'
_symmetry_Int_Tables_number 221
_symmetry_space_group_name_Hall '-P 4 2 3'
loop_
_atom_site_label
_atom_site_type_symbol
_atom_site_fract_x
_atom_site_fract_y
_atom_site_fract_z
La1 La 0.000 0.000 0.000
Ag1 Ag 0.000 0.000 0.500
N1 N 0.500 0.500 0.500
```


Energetically preferred structure: w | next structure: +131.1 kJ/mol of atoms


w:
First-principles (PBE) data for a relaxed structure of NaLa2AgN, as listed in Alexandria.

Calculated values
DOS(E_F): 1.16 states/eV/atom
spin magnetization: 0.01 μB per cell

CIF file:
```
data_NaLa2AgN
_chemical_formula_sum 'Na1 La2 Ag1 N1'
_cell_length_a 5.599
_cell_length_b 5.599
_cell_length_c 4.011
_cell_angle_alpha 90.00
_cell_angle_beta 90.00
_cell_angle_gamma 90.00
_symmetry_space_group_name_H-M 'P 4/m m m'
_symmetry_Int_Tables_number 123
_symmetry_space_group_name_Hall '-P 4 2'
loop_
_atom_site_label
_atom_site_type_symbol
_atom_site_fract_x
_atom_site_fract_y
_atom_site_fract_z
Na1 Na 0.000 0.000 0.000
La1 La 0.000 0.500 0.000
Ag1 Ag 0.500 0.500 0.500
N1 N 0.000 0.000 0.500
```


x:
First-principles (PBE) data for a relaxed structure of NaLa2AgN, as listed in Alexandria.

Calculated values
DOS(E_F): 0.93 states/eV/atom
spin magnetization: 0.00 μB per cell

CIF file:
```
data_NaLa2AgN
_chemical_formula_sum 'Na1 La2 Ag1 N1'
_cell_length_a 5.015
_cell_length_b 5.015
_cell_length_c 4.916
_cell_angle_alpha 90.00
_cell_angle_beta 90.00
_cell_angle_gamma 90.00
_symmetry_space_group_name_H-M 'P 4/m m m'
_symmetry_Int_Tables_number 123
_symmetry_space_group_name_Hall '-P 4 2'
loop_
_atom_site_label
_atom_site_type_symbol
_atom_site_fract_x
_atom_site_fract_y
_atom_site_fract_z
Na1 Na 0.000 0.000 0.000
La1 La 0.000 0.500 0.500
Ag1 Ag 0.500 0.500 0.000
N1 N 0.000 0.000 0.500
```


Energetically preferred structure: x | next structure: +119.4 kJ/mol of atoms


w:
First-principles (PBE) data for a relaxed structure of La2TaAgN, as listed in Alexandria.

Calculated values
DOS(E_F): 1.38 states/eV/atom
spin magnetization: 0.00 μB per cell

CIF file:
```
data_La2TaAgN
_chemical_formula_sum 'La2 Ta1 Ag1 N1'
_cell_length_a 5.868
_cell_length_b 5.868
_cell_length_c 4.001
_cell_angle_alpha 90.00
_cell_angle_beta 90.00
_cell_angle_gamma 90.00
_symmetry_space_group_name_H-M 'P 4/m m m'
_symmetry_Int_Tables_number 123
_symmetry_space_group_name_Hall '-P 4 2'
loop_
_atom_site_label
_atom_site_type_symbol
_atom_site_fract_x
_atom_site_fract_y
_atom_site_fract_z
La1 La 0.000 0.500 0.000
Ta1 Ta 0.000 0.000 0.000
Ag1 Ag 0.500 0.500 0.500
N1 N 0.000 0.000 0.500
```


x:
First-principles (PBE) data for a relaxed structure of La2TaAgN, as listed in Alexandria.

Calculated values
DOS(E_F): 0.91 states/eV/atom
spin magnetization: 0.85 μB per cell

CIF file:
```
data_La2TaAgN
_chemical_formula_sum 'La2 Ta1 Ag1 N1'
_cell_length_a 5.320
_cell_length_b 5.320
_cell_length_c 4.091
_cell_angle_alpha 90.00
_cell_angle_beta 90.00
_cell_angle_gamma 90.00
_symmetry_space_group_name_H-M 'P 4/m m m'
_symmetry_Int_Tables_number 123
_symmetry_space_group_name_Hall '-P 4 2'
loop_
_atom_site_label
_atom_site_type_symbol
_atom_site_fract_x
_atom_site_fract_y
_atom_site_fract_z
La1 La 0.000 0.500 0.000
Ta1 Ta 0.000 0.000 0.500
Ag1 Ag 0.500 0.500 0.500
N1 N 0.000 0.000 0.000
```


Energetically preferred structure: x | next structure: +72.6 kJ/mol of atoms


w:
First-principles (PBE) data for a relaxed structure of LaAgTe2N, as listed in Alexandria.

Calculated values
DOS(E_F): 0.83 states/eV/atom
spin magnetization: 0.00 μB per cell

CIF file:
```
data_LaAgTe2N
_chemical_formula_sum 'La1 Ag1 Te2 N1'
_cell_length_a 6.494
_cell_length_b 6.494
_cell_length_c 3.975
_cell_angle_alpha 90.00
_cell_angle_beta 90.00
_cell_angle_gamma 90.00
_symmetry_space_group_name_H-M 'P 4/m m m'
_symmetry_Int_Tables_number 123
_symmetry_space_group_name_Hall '-P 4 2'
loop_
_atom_site_label
_atom_site_type_symbol
_atom_site_fract_x
_atom_site_fract_y
_atom_site_fract_z
La1 La 0.000 0.000 0.000
Ag1 Ag 0.500 0.500 0.500
Te1 Te 0.000 0.500 0.000
N1 N 0.000 0.000 0.500
```


x:
First-principles (PBE) data for a relaxed structure of LaAgTe2N, as listed in Alexandria.

Calculated values
DOS(E_F): 0.29 states/eV/atom
spin magnetization: 1.81 μB per cell

CIF file:
```
data_LaAgTe2N
_chemical_formula_sum 'La1 Ag1 Te2 N1'
_cell_length_a 5.604
_cell_length_b 5.604
_cell_length_c 4.175
_cell_angle_alpha 90.00
_cell_angle_beta 90.00
_cell_angle_gamma 90.00
_symmetry_space_group_name_H-M 'P 4/m m m'
_symmetry_Int_Tables_number 123
_symmetry_space_group_name_Hall '-P 4 2'
loop_
_atom_site_label
_atom_site_type_symbol
_atom_site_fract_x
_atom_site_fract_y
_atom_site_fract_z
La1 La 0.000 0.000 0.000
Ag1 Ag 0.500 0.500 0.500
Te1 Te 0.000 0.500 0.500
N1 N 0.500 0.500 0.000
```


Energetically preferred structure: x | next structure: +18.9 kJ/mol of atoms